[1]
Computed, not measured: a relaxed structure of YAg3Se at the PBE-GGA level of DFT.

a b c (Å): 5.455 5.455 5.455
angles (deg): 90.00 90.00 90.00
Space group Pm-3m (No. 221)
One atom of each set of equivalent atoms:
Y: 0.000 0.000 0.000
Ag: 0.000 0.000 0.500
Se: 0.500 0.500 0.500

Values from the calculation:
polymorph energy (0 for the lowest one) = 0.767 eV per atom
density = 5.03 g/cm3
M_tot = 0.00 μB per atom
uncorrected formation energy = 103 kJ per mole of atoms
final energy = -0.194 Ry per atom

***

[2]
Computed, not measured: a relaxed structure of YAg3Se3 at the PBE-GGA level of DFT.

a b c (Å): 7.5062 7.5062 20.8154
angles (deg): 90.00 90.00 120.00
Space group R-3 (No. 148, hexagonal axes)
One atom of each set of equivalent atoms:
Y: 0.0000 0.0000 0.1667
Ag: 0.0048 0.6576 0.3731
Se: 0.0014 0.3326 0.7611

Values from the calculation:
density = 6.37 g/cm3
M_tot = 0.00 μB per atom
uncorrected formation energy = -69 kJ per mole of atoms
final energy = -0.320 Ry per atom

***

[3]
Computed, not measured: a relaxed structure of YbAgSe2 at the PBE-GGA level of DFT.

a b c (Å): 4.312 6.712 13.850
angles (deg): 90.00 90.00 90.00
Space group P2_12_12_1 (No. 19)
One atom of each set of equivalent atoms:
Yb: 0.243 0.201 0.375
Ag: 0.005 0.702 0.373
Se: 0.240 0.502 0.524
Se: 0.243 0.097 0.725

Values from the calculation:
density = 7.27 g/cm3
M_tot = 0.07 μB per atom
uncorrected formation energy = -97 kJ per mole of atoms
final energy = -0.282 Ry per atom

***

[4]
Computed, not measured: a relaxed structure of YbAgSe2 at the PBE-GGA level of DFT.

a b c (Å): 5.434 7.611 9.072
angles (deg): 90.00 90.00 90.00
Space group P2_12_12_1 (No. 19)
One atom of each set of equivalent atoms:
Yb: 0.250 0.249 0.164
Ag: 0.248 0.665 0.056
Se: 0.249 0.971 0.922
Se: 0.250 0.409 0.845

Values from the calculation:
density = 7.77 g/cm3
M_tot = 0.08 μB per atom
uncorrected formation energy = -88 kJ per mole of atoms
final energy = -0.275 Ry per atom

***

density of number 3 (YbAgSe2)? 7.27 g/cm3